# 1
The following is a PBE calculation of a geometry-optimized Re3Pt structure, from the Alexandria database.

abc: 2.771 4.819 4.794
angles: 100.08 90.00 106.71
Positions (direct):
Re1 0.755 0.511 0.262
Re2 0.245 0.489 0.738
Re3 0.500 0.000 0.500
Pt1 0.000 0.000 0.000

## Properties
DFT total energy ... -43.4 eV for the cell shown
Total magnetic moment ... 0.0 μB per cell

***

# 2
The following is a PBE calculation of a geometry-optimized RePt2 structure, from the Alexandria database.

abc: 2.792 2.792 6.820
angles: 90.00 90.00 120.00
Positions (direct):
Pt1 0.333 0.667 0.656
Pt2 0.000 0.000 0.010
Re1 0.667 0.333 0.333

## Properties
DFT total energy ... -24.7 eV for the cell shown
E above lowest polymorph ... 74 meV per atom
Total magnetic moment ... 0.0 μB per cell

***

# 3
The following is a PBE calculation of a geometry-optimized RePt structure, from the Alexandria database.

abc: 4.999 4.999 4.999
angles: 90.00 90.00 90.00
Positions (direct):
Pt1 0.598 0.902 0.098
Pt2 0.402 0.402 0.402
Pt3 0.098 0.598 0.902
Pt4 0.902 0.098 0.598
Re1 0.401 0.901 0.599
Re2 0.099 0.099 0.099
Re3 0.901 0.599 0.401
Re4 0.599 0.401 0.901

## Properties
DFT total energy ... -72.0 eV for the cell shown
E above lowest polymorph ... 365 meV per atom
Total magnetic moment ... 0.0 μB per cell

***

# 4
The following is a PBE calculation of a geometry-optimized Re8Pt structure, from the Alexandria database.

abc: 6.192 6.192 6.192
angles: 95.75 95.75 143.09
Positions (direct):
Re1 0.335 0.000 0.335
Re2 0.330 0.670 0.000
Re3 0.670 0.330 0.000
Re4 0.000 0.335 0.335
Re5 0.670 0.670 0.340
Re6 0.665 0.000 0.665
Re7 0.330 0.330 0.660
Re8 0.000 0.665 0.665
Pt1 0.000 0.000 0.000

## Properties
DFT total energy ... -105.4 eV for the cell shown
Total magnetic moment ... 0.0 μB per cell

***

no.,mass density (g cm⁻³),calculated formation energy (eV per formula unit),V (Å³/cell)
1,20.8,0.01,60.3
2,20.8,-0.22,46.0
3,20.3,0.48,124.9
4,20.7,0.25,135.3